No. 1
Al6Zn12Ag: optimized geometry, PBE-GGA.

a = 7.2972 Å, b = 7.2972 Å, c = 7.2972 Å
α = 106.35°, β = 106.35°, γ = 106.35°
With the nearest neighbours (Å) after each atom.
Fractional coordinates of all 19 atoms:
1 Zn 0.8899 0.1101 0.5000  3 Zn 2.57-2.68, 4 Al 2.67-2.74
2 Zn 0.6633 0.6633 0.9007  1 Ag 2.68, 4 Zn 2.68-2.77, 4 Al 2.71-2.80
3 Zn 0.5000 0.8899 0.1101  3 Zn 2.57-2.68, 4 Al 2.67-2.74
4 Zn 0.3367 0.0993 0.3367  1 Ag 2.68, 4 Zn 2.68-2.77, 4 Al 2.71-2.80
5 Zn 0.9007 0.6633 0.6633  1 Ag 2.68, 4 Zn 2.68-2.77, 4 Al 2.71-2.80
6 Zn 0.1101 0.8899 0.5000  3 Zn 2.57-2.68, 4 Al 2.67-2.74
7 Zn 0.8899 0.5000 0.1101  3 Zn 2.57-2.68, 4 Al 2.67-2.74
8 Zn 0.6633 0.9007 0.6633  1 Ag 2.68, 4 Zn 2.68-2.77, 4 Al 2.71-2.80
9 Zn 0.1101 0.5000 0.8899  3 Zn 2.57-2.68, 4 Al 2.67-2.74
10 Zn 0.3367 0.3367 0.0993  1 Ag 2.68, 4 Zn 2.68-2.77, 4 Al 2.71-2.80
11 Zn 0.0993 0.3367 0.3367  1 Ag 2.68, 4 Zn 2.68-2.77, 4 Al 2.71-2.80
12 Zn 0.5000 0.1101 0.8899  3 Zn 2.57-2.68, 4 Al 2.67-2.74
13 Al 0.6872 0.2966 0.6872  8 Zn 2.67-2.80, 2 Al 2.80
14 Al 0.6872 0.6872 0.2966  8 Zn 2.67-2.80, 2 Al 2.80
15 Al 0.2966 0.6872 0.6872  8 Zn 2.67-2.80, 2 Al 2.80
16 Al 0.3128 0.3128 0.7034  8 Zn 2.67-2.80, 2 Al 2.80
17 Al 0.3128 0.7034 0.3128  8 Zn 2.67-2.80, 2 Al 2.80
18 Al 0.7034 0.3128 0.3128  8 Zn 2.67-2.80, 2 Al 2.80
19 Ag 0.0000 0.0000 0.0000  6 Zn 2.68

Calculated values
- crystal system = trigonal
- ΔH_f (0 K) (eV per atom) = 0.090

No. 2
K2ZrFe: optimized geometry, PBE-GGA.

a = 3.0725 Å, b = 6.3544 Å, c = 5.8392 Å
α = 90.00°, β = 90.00°, γ = 90.00°
With the nearest neighbours (Å) after each atom.
Fractional coordinates of all 4 atoms:
1 Fe 0.5000 0.5000 0.7500  2 Zr 2.92, 2 Fe 3.07
2 K 0.0000 0.0000 0.5060  4 K 2.85-3.07
3 K 0.0000 0.0000 0.9940  4 K 2.85-3.07
4 Zr 0.5000 0.5000 0.2500  2 Fe 2.92, 2 Zr 3.07

Calculated values
- crystal system = orthorhombic
- excess energy over the best structure of this formula in the dataset (meV/atom) = 675
- ΔH_f (0 K) (eV per atom) = 1.228

No. 3
NaNiAsPt: optimized geometry, PBE-GGA.

a = 3.7787 Å, b = 3.7787 Å, c = 10.6503 Å
α = 90.00°, β = 90.00°, γ = 90.00°
With the nearest neighbours (Å) after each atom.
Fractional coordinates of all 8 atoms:
1 Pt 0.7500 0.2500 0.5000  4 Pt 2.67
2 Pt 0.2500 0.7500 0.5000  4 Pt 2.67
3 As 0.2500 0.2500 0.1275  4 Ni 2.33
4 As 0.7500 0.7500 0.8725  4 Ni 2.33
5 Na 0.7500 0.7500 0.2791  4 Pt 3.02, 4 As 3.12
6 Na 0.2500 0.2500 0.7209  4 Pt 3.02, 4 As 3.12
7 Ni 0.2500 0.7500 0.0000  4 As 2.33
8 Ni 0.7500 0.2500 0.0000  4 As 2.33

Calculated values
- crystal system = tetragonal
- ΔH_f (0 K) (eV per atom) = -0.161

No. 4
Fe2SiSe: optimized geometry, PBE-GGA.

a = 2.6697 Å, b = 2.6697 Å, c = 8.9792 Å
α = 90.00°, β = 90.00°, γ = 105.98°
With the nearest neighbours (Å) after each atom.
Fractional coordinates of all 4 atoms:
1 Si 0.5000 0.5000 0.8128  2 Fe 2.43, 4 Si 2.67
2 Fe 0.0000 0.0000 0.0158  2 Si 2.43, 6 Fe 2.47-2.67
3 Fe 0.5000 0.5000 0.2248  6 Fe 2.47-2.67, 2 Se 2.56
4 Se 0.0000 0.0000 0.4467  2 Fe 2.56, 4 Se 2.67

Calculated values
- raw formation energy (eV per atom) = 0.2405
- crystal system = orthorhombic
- excess energy over the best structure of this formula in the dataset (meV/atom) = 279

no.,calculated total energy (eV/atom),calculated volume (Å³/cell)
1,-2.046,329.2
2,-3.574,114.0
3,-4.609,152.1
4,-6.218,61.5